ScIn2Ir: optimized geometry, PBE.

a = 8.651 Å, b = 8.651 Å, c = 5.132 Å
α = 90.00°, β = 90.00°, γ = 90.00°
Space group I-42d (No. 122)
Asymmetric unit:
Sc1 0.000 0.000 0.000 x4
In1 0.169 0.250 0.625 x8
Ir1 0.000 0.000 0.500 x4

Properties
The formation energy comes out at -0.099 eV/atom. The energy is -5.267 eV per atom.